6
Lattice="0.371 3.145 3.926 1.423 4.785 -0.727 -3.340 3.738 0.561" Properties=species:S:1:pos:R:3 comment="CdSi4Mo, relaxed, DFT PBE" formation_energy_uncorrected_ev_per_fu=2.9 total_magnetization_mub_per_fu=0.0 pbc="T T T"
Cd -1.160 8.751 2.821
Si -0.391 5.950 3.389
Si -2.265 6.249 1.689
Si 0.141 6.777 1.038
Si -0.578 4.361 1.406
Mo 0.000 0.000 0.000

***

10
Lattice="-4.374 2.259 3.198 -1.082 -5.776 2.599 4.132 4.055 2.788" Properties=species:S:1:pos:R:3 comment="TmTl2CuF6, relaxed, DFT PBE" formation_energy_uncorrected_ev_per_fu=-24.8 total_magnetization_mub_per_fu=0.1 pbc="T T T"
Tm -2.187 1.129 1.599
Tl 2.368 0.791 2.744
Tl -3.692 -0.254 5.842
Cu 0.000 0.000 0.000
F -2.152 2.011 3.573
F 0.134 4.254 5.115
F -0.464 1.058 6.553
F -1.459 -3.717 3.470
F -0.860 -0.521 2.032
F 0.828 -1.473 5.013

***

4
Lattice="5.062 0.000 0.000 2.531 4.384 0.000 2.531 1.461 4.133" Properties=species:S:1:pos:R:3 comment="BaYMo2, relaxed, DFT PBE" formation_enthalpy_0k_ev_per_fu=4.4 total_magnetization_mub_per_fu=0.0 pbc="T T T"
Ba 5.062 2.922 2.066
Mo 0.000 0.000 0.000
Mo 2.531 1.461 1.033
Y 7.593 4.384 3.100

***

12
Lattice="-3.254 -3.064 0.004 -1.767 -1.369 9.526 -6.154 3.279 1.890" Properties=species:S:1:pos:R:3 comment="Cd5In5Ag2, relaxed, DFT PBE" formation_enthalpy_0k_ev_per_fu=0.3 total_magnetization_mub_per_fu=0.0 pbc="T T T"
Cd -6.840 -2.504 7.826
Cd -6.747 0.658 8.355
Cd -4.428 -1.812 3.065
Cd -4.335 1.350 3.594
Cd 0.000 0.000 0.000
In -5.588 -0.577 5.710
In -7.517 1.470 4.339
In -4.905 -1.296 10.102
In -6.270 0.142 1.318
In -3.659 -2.624 7.081
Ag -8.733 -0.495 6.354
Ag -2.443 -0.658 5.066